# 1
This record from the Alexandria database describes a relaxed AlFeNiAu crystal. The functional is GGA-PBE.

The formation energy comes out at -148 meV per atom. The value obtained for the final energy is -0.402 Ry/atom.

The space group is F-43m (No. 216) and the conventional cell measures 6.069, 6.069 and 6.069 Å, with angles of 90.00, 90.00 and 90.00 degrees. The inequivalent atoms are Al at (0.000, 0.000, 0.000), Fe at (0.000, 0.000, 0.500), Ni at (0.250, 0.250, 0.250) and Au at (0.250, 0.250, 0.750).

# 2
This record from the Alexandria database describes a relaxed AlFePdAu crystal. The functional is GGA-PBE.

The formation energy comes out at -281 meV per atom. The value obtained for the final energy is -0.401 Ry/atom.

The space group is F-43m (No. 216) and the conventional cell measures 6.230, 6.230 and 6.230 Å, with angles of 90.00, 90.00 and 90.00 degrees. The inequivalent atoms are Al at (0.000, 0.000, 0.000), Fe at (0.000, 0.000, 0.500), Pd at (0.250, 0.250, 0.750) and Au at (0.250, 0.250, 0.250).

# 3
This record from the Alexandria database describes a relaxed AlFePtAu crystal. The functional is GGA-PBE.

The formation energy comes out at -327 meV per atom. The value obtained for the final energy is -0.420 Ry/atom.

The space group is F-43m (No. 216) and the conventional cell measures 6.241, 6.241 and 6.241 Å, with angles of 90.00, 90.00 and 90.00 degrees. The inequivalent atoms are Al at (0.000, 0.000, 0.000), Fe at (0.000, 0.000, 0.500), Pt at (0.250, 0.250, 0.750) and Au at (0.250, 0.250, 0.250).

# 4
This record from the Alexandria database describes a relaxed AlFeReAu2 crystal. The functional is GGA-PBE.

The formation energy comes out at 1345 meV per atom. The value obtained for the final energy is -0.360 Ry/atom.

The space group is P4/mmm (No. 123) and the conventional cell measures 4.605, 4.605 and 4.415 Å, with angles of 90.00, 90.00 and 90.00 degrees. The inequivalent atoms are Al at (0.000, 0.000, 0.000), Fe at (0.000, 0.000, 0.500), Re at (0.500, 0.500, 0.500) and Au at (0.000, 0.500, 0.000).

# 5
This record from the Alexandria database describes a relaxed AlFeRuAu crystal. The functional is GGA-PBE.

The formation energy comes out at -136 meV per atom. The value obtained for the final energy is -0.465 Ry/atom.

The space group is F-43m (No. 216) and the conventional cell measures 6.143, 6.143 and 6.143 Å, with angles of 90.00, 90.00 and 90.00 degrees. The inequivalent atoms are Al at (0.000, 0.000, 0.000), Fe at (0.000, 0.000, 0.500), Ru at (0.250, 0.250, 0.250) and Au at (0.250, 0.250, 0.750).

# 6
This record from the Alexandria database describes a relaxed AlVFeAu crystal. The functional is GGA-PBE.

The formation energy comes out at -102 meV per atom. The value obtained for the final energy is -0.460 Ry/atom.

The space group is F-43m (No. 216) and the conventional cell measures 6.148, 6.148 and 6.148 Å, with angles of 90.00, 90.00 and 90.00 degrees. The inequivalent atoms are Al at (0.000, 0.000, 0.000), V at (0.000, 0.000, 0.500), Fe at (0.250, 0.250, 0.250) and Au at (0.250, 0.250, 0.750).

# 7
This record from the Alexandria database describes a relaxed AlZnFeAu crystal. The functional is GGA-PBE.

The formation energy comes out at -101 meV per atom. The value obtained for the final energy is -0.315 Ry/atom.

The space group is F-43m (No. 216) and the conventional cell measures 6.130, 6.130 and 6.130 Å, with angles of 90.00, 90.00 and 90.00 degrees. The inequivalent atoms are Al at (0.000, 0.000, 0.000), Zn at (0.000, 0.000, 0.500), Fe at (0.250, 0.250, 0.250) and Au at (0.250, 0.250, 0.750).

# 8
This record from the Alexandria database describes a relaxed ZrAlFeAu crystal. The functional is GGA-PBE.

The formation energy comes out at -289 meV per atom. The value obtained for the final energy is -0.463 Ry/atom.

The space group is F-43m (No. 216) and the conventional cell measures 6.437, 6.437 and 6.437 Å, with angles of 90.00, 90.00 and 90.00 degrees. The inequivalent atoms are Zr at (0.000, 0.000, 0.000), Al at (0.000, 0.000, 0.500), Fe at (0.250, 0.250, 0.250) and Au at (0.250, 0.250, 0.750).

The highest formation energy belongs to which entry?
AlFeReAu2

The lowest final energy belongs to which entry?
AlFeRuAu

What is the formula in the fifth record?
AlFeRuAu

Among the records above, which one has the lowest final energy?
AlFeRuAu